A plane-wave DFT calculation with PBE was carried out for a geometry-optimized CsAl structure.

Results
E above lowest polymorph   0.0691 eV per atom
DFT total energy   -2.044 eV per atom
D(E_F)   1.86 states/eV per cell
Energy of formation   0.254 eV/atom

Lattice parameters (Å, degrees): 4.7372 7.6302 7.6308 82.54 71.94 71.93
Closest atoms and distances in Å follow each position.
Fractional coordinates of all 4 atoms:
Cs 0.0000 0.0000 0.0000  6 Al 3.95-4.09
Cs 0.4986 0.4998 0.4980  6 Al 3.95-4.09
Al 0.2487 0.0441 0.4559  2 Al 2.53
Al 0.7488 0.9553 0.5446  2 Al 2.53

***

A plane-wave DFT calculation with PBE was carried out for a geometry-optimized CsAl structure.

Results
E above lowest polymorph   0.0000 eV per atom
DFT total energy   -2.113 eV per atom
D(E_F)   6.77 states/eV per cell
Energy of formation   0.185 eV/atom

Lattice parameters (Å, degrees): 8.7555 6.6223 12.0112 90.00 90.00 90.00
Closest atoms and distances in Å follow each position.
Fractional coordinates of all 16 atoms:
Cs 0.1509 0.2500 0.1689  8 Al 4.02-4.51, 5 Cs 4.07-4.24
Cs 0.1522 0.2500 0.8298  8 Al 4.02-4.50, 5 Cs 4.07-4.24
Cs 0.3478 0.7500 0.3298  8 Al 4.02-4.50, 5 Cs 4.07-4.24
Cs 0.3491 0.7500 0.6689  8 Al 4.02-4.51, 5 Cs 4.07-4.24
Cs 0.6509 0.2500 0.3311  8 Al 4.02-4.51, 5 Cs 4.07-4.24
Cs 0.6522 0.2500 0.6702  8 Al 4.02-4.50, 5 Cs 4.07-4.24
Cs 0.8478 0.7500 0.1702  8 Al 4.02-4.50, 5 Cs 4.07-4.24
Cs 0.8491 0.7500 0.8311  8 Al 4.02-4.51, 5 Cs 4.07-4.24
Al 0.0000 0.0000 0.5000  2 Al 2.58
Al 0.0000 0.5000 0.5000  2 Al 2.58
Al 0.2253 0.2500 0.4995  2 Al 2.58
Al 0.2747 0.7500 0.9995  2 Al 2.58
Al 0.5000 0.0000 0.0000  2 Al 2.58
Al 0.5000 0.5000 0.0000  2 Al 2.58
Al 0.7253 0.2500 0.0005  2 Al 2.58
Al 0.7747 0.7500 0.5005  2 Al 2.58

***

A plane-wave DFT calculation with PBE was carried out for a geometry-optimized CsAl structure.

Results
E above lowest polymorph   0.0236 eV per atom
DFT total energy   -2.090 eV per atom
D(E_F)   1.21 states/eV per cell
Energy of formation   0.208 eV/atom

Lattice parameters (Å, degrees): 7.1347 7.1347 4.7551 90.00 90.00 127.37
Closest atoms and distances in Å follow each position.
Fractional coordinates of all 4 atoms:
Cs 0.1539 0.8461 0.7500  7 Al 3.98-4.24
Cs 0.8461 0.1539 0.2500  7 Al 3.98-4.24
Al 0.4656 0.5344 0.7500  2 Al 2.54
Al 0.5344 0.4656 0.2500  2 Al 2.54

***

A plane-wave DFT calculation with PBE was carried out for a geometry-optimized CsAl2 structure.

Results
DFT total energy   -2.389 eV per atom
D(E_F)   7.31 states/eV per cell
Energy of formation   0.391 eV/atom

Lattice parameters (Å, degrees): 6.3005 6.3005 6.3005 60.00 60.00 60.00
Closest atoms and distances in Å follow each position.
Fractional coordinates of all 6 atoms:
Cs 0.1250 0.1250 0.1250  12 Al 3.69, 4 Cs 3.86
Cs 0.8750 0.8750 0.8750  12 Al 3.69, 4 Cs 3.86
Al 0.0000 0.5000 0.5000  6 Al 3.15
Al 0.5000 0.0000 0.5000  6 Al 3.15
Al 0.5000 0.5000 0.0000  6 Al 3.15
Al 0.5000 0.5000 0.5000  6 Al 3.15

***

A plane-wave DFT calculation with PBE was carried out for a geometry-optimized CsAl structure.

Results
E above lowest polymorph   0.7212 eV per atom
DFT total energy   -1.392 eV per atom
D(E_F)   1.87 states/eV per cell
Energy of formation   0.906 eV/atom

Lattice parameters (Å, degrees): 5.5251 5.5251 5.5251 60.00 60.00 60.00
Closest atoms and distances in Å follow each position.
Fractional coordinates of all 2 atoms:
Cs 0.0000 0.0000 0.0000  6 Al 3.91
Al 0.5000 0.5000 0.5000  6 Cs 3.91

***

A plane-wave DFT calculation with PBE was carried out for a geometry-optimized CsAl structure.

Results
E above lowest polymorph   0.2991 eV per atom
DFT total energy   -1.814 eV per atom
D(E_F)   0.97 states/eV per cell
Energy of formation   0.484 eV/atom

Lattice parameters (Å, degrees): 5.9184 5.9184 5.9184 60.00 60.00 60.00
Closest atoms and distances in Å follow each position.
Fractional coordinates of all 4 atoms:
Cs 0.1250 0.1250 0.1250  4 Cs 3.62, 4 Al 3.62
Cs 0.8750 0.8750 0.8750  4 Cs 3.62, 4 Al 3.62
Al 0.3750 0.3750 0.3750  4 Al 3.62, 4 Cs 3.62
Al 0.6250 0.6250 0.6250  4 Al 3.62, 4 Cs 3.62

***

A plane-wave DFT calculation with PBE was carried out for a geometry-optimized CsAl structure.

Results
E above lowest polymorph   0.0372 eV per atom
DFT total energy   -2.076 eV per atom
D(E_F)   2.25 states/eV per cell
Energy of formation   0.222 eV/atom

Lattice parameters (Å, degrees): 9.1764 9.1764 9.1764 151.34 55.68 133.34
Closest atoms and distances in Å follow each position.
Fractional coordinates of all 6 atoms:
Cs 0.0000 0.0000 0.0000  2 Al 3.61-3.66
Cs 0.3378 0.6098 0.7280  3 Al 3.80-4.03
Cs 0.8818 0.6098 0.2720  3 Al 3.80-4.03
Al 0.4784 0.0638 0.4146  3 Al 2.70-2.77
Al 0.5030 0.5030 0.0000  4 Al 2.70
Al 0.6492 0.0638 0.5854  3 Al 2.70-2.77

***

A plane-wave DFT calculation with PBE was carried out for a geometry-optimized CsAl structure.

Results
E above lowest polymorph   0.0215 eV per atom
DFT total energy   -2.092 eV per atom
D(E_F)   1.60 states/eV per cell
Energy of formation   0.206 eV/atom

Lattice parameters (Å, degrees): 4.6994 6.7990 7.0930 118.63 109.26 90.06
Closest atoms and distances in Å follow each position.
Fractional coordinates of all 4 atoms:
Cs 0.0930 0.3410 0.1819  4 Cs 3.99-4.37, 9 Al 4.10-4.40
Cs 0.9070 0.6590 0.8181  4 Cs 3.99-4.37, 9 Al 4.10-4.40
Al 0.2902 0.0406 0.5806  2 Al 2.53
Al 0.7098 0.9594 0.4194  2 Al 2.53